No. 1
VASP calculation (PBE) on a relaxed CoMo2Pb crystal.

It has space group Cmm2 (No. 35), with a = 3.734 Å, b = 4.594 Å, c = 7.904 Å, α = 90.00°, β = 90.00° and γ = 90.00°. The asymmetric unit holds Co at (0.000, 0.000, 0.000), Mo at (0.000, 0.000, 0.560), Mo at (0.000, 0.500, 0.805) and Pb at (0.000, 0.500, 0.262).

The value obtained for the energy of formation from the pure elements is 0.531 eV per atom. The crystal system is orthorhombic. The raw total energy is -7.5878 eV per atom.

No. 2
VASP calculation (PBE) on a relaxed Co2MoPb crystal.

It has space group F-43m (No. 216), with a = 6.226 Å, b = 6.226 Å, c = 6.226 Å, α = 90.00°, β = 90.00° and γ = 90.00°. The asymmetric unit holds Co at (0.000, 0.000, 0.000), Co at (0.250, 0.250, 0.250), Mo at (0.000, 0.000, 0.500) and Pb at (0.250, 0.250, 0.750).

The value obtained for the energy of formation from the pure elements is 0.659 eV per atom. The crystal system is cubic. The raw total energy is -6.5289 eV per atom.

No. 3
VASP calculation (PBE) on a relaxed CoMoPb2 crystal.

It has space group Fm-3m (No. 225), with a = 6.703 Å, b = 6.703 Å, c = 6.703 Å, α = 90.00°, β = 90.00° and γ = 90.00°. The asymmetric unit holds Co at (0.000, 0.000, 0.000), Mo at (0.000, 0.000, 0.500) and Pb at (0.250, 0.250, 0.250).

The value obtained for the energy of formation from the pure elements is 0.807 eV per atom. The value obtained for the energy above the most stable polymorph in this dataset is 445.8 meV/atom. The crystal system is cubic. The raw total energy is -5.5312 eV per atom.

No. 4
VASP calculation (PBE) on a relaxed Co2MoPb crystal.

It has space group P4/mmm (No. 123), with a = 3.202 Å, b = 3.202 Å, c = 5.994 Å, α = 90.00°, β = 90.00° and γ = 90.00°. The asymmetric unit holds Co at (0.000, 0.000, 0.203), Mo at (0.500, 0.500, 0.000) and Pb at (0.500, 0.500, 0.500).

The value obtained for the energy of formation from the pure elements is 0.380 eV per atom. The crystal system is tetragonal. The raw total energy is -6.8082 eV per atom.

Result set for size of the total moment: 0.101, 0.079, 0.000, 0.000 μB per atom, one per record in the order listed.